A relaxed structure of Ac2TbNd5Ho. Source: Alexandria, functional GGA-PBE.

The space group is Cmc2_1 (No. 36) and the conventional cell measures 5.836, 20.776 and 10.960 Å, with angles of 90.00, 90.00 and 90.00 degrees. The inequivalent atoms are Ac at (0.000, 0.113, 0.000), Ac at (0.000, 0.117, 0.582), Tb at (0.000, 0.407, 0.734), Nd at (0.000, 0.019, 0.286), Nd at (0.000, 0.281, 0.577), Nd at (0.000, 0.294, 0.968), Nd at (0.000, 0.386, 0.287), Nd at (0.000, 0.484, 0.010) and Ho at (0.000, 0.205, 0.275).

Its total energy is -160.25 eV per cell. For the magnetization, the calculation gives 0.00 μB per atom. The calculation puts the density of states at the Fermi level at 49.87 states/eV/cell. As for the energy of formation from the pure elements: 1.2 eV per formula unit.


A relaxed structure of Tb3Nd3Dy2. Source: Alexandria, functional GGA-PBE.

The space group is C2/m (No. 12) and the conventional cell measures 16.388, 5.771 and 6.039 Å, with angles of 90.00, 110.81 and 90.00 degrees. The inequivalent atoms are Tb at (0.000, 0.000, 0.000), Tb at (0.133, 0.000, 0.580), Nd at (0.000, 0.500, 0.500), Nd at (0.135, 0.500, 0.195) and Dy at (0.250, 0.000, 0.182).

Its total energy is -73.46 eV per cell. For the magnetization, the calculation gives 0.00 μB per atom. The calculation puts the density of states at the Fermi level at 26.94 states/eV/cell. As for the energy of formation from the pure elements: 0.7 eV per formula unit.


A relaxed structure of Zr2TlAu. Source: Alexandria, functional GGA-PBE.

The space group is Pmm2 (No. 25) and the conventional cell measures 3.431, 4.007 and 6.385 Å, with angles of 90.00, 90.00 and 90.00 degrees. The inequivalent atoms are Zr at (0.000, 0.000, 0.000), Zr at (0.500, 0.500, 0.272), Tl at (0.500, 0.500, 0.754) and Au at (0.000, 0.000, 0.489).

Its total energy is -23.44 eV per cell. For the magnetization, the calculation gives 0.00 μB per atom. The calculation puts the density of states at the Fermi level at 2.85 states/eV/cell. As for the energy of formation from the pure elements: -0.7 eV per formula unit.


A relaxed structure of La6CePr2. Source: Alexandria, functional GGA-PBE.

The space group is C2/c (No. 15) and the conventional cell measures 25.104, 8.137 and 6.365 Å, with angles of 90.00, 99.53 and 90.00 degrees. The inequivalent atoms are La at (0.030, 0.180, 0.024), La at (0.125, 0.147, 0.545), La at (0.138, 0.418, 0.004), Ce at (0.000, 0.477, 0.750) and Pr at (0.242, 0.133, 0.248).

Its total energy is -175.88 eV per cell. For the magnetization, the calculation gives 0.00 μB per atom. The calculation puts the density of states at the Fermi level at 61.81 states/eV/cell. As for the energy of formation from the pure elements: 1.1 eV per formula unit.


A relaxed structure of H3PtO. Source: Alexandria, functional GGA-PBE.

The space group is Pm-3m (No. 221) and the conventional cell measures 3.238, 3.238 and 3.238 Å, with angles of 90.00, 90.00 and 90.00 degrees. The inequivalent atoms are H at (0.000, 0.000, 0.500), Pt at (0.500, 0.500, 0.500) and O at (0.000, 0.000, 0.000).

Its total energy is -16.94 eV per cell. For the magnetization, the calculation gives 0.00 μB per atom. The calculation puts the density of states at the Fermi level at 0.88 states/eV/cell. As for the energy above the lowest structure with this stoichiometry: 229.0 meV per atom.


A relaxed structure of NaCuI2O4. Source: Alexandria, functional GGA-PBE.

The space group is C2/c (No. 15) and the conventional cell measures 11.916, 11.160 and 6.224 Å, with angles of 90.00, 101.55 and 90.00 degrees. The inequivalent atoms are Na at (0.000, 0.158, 0.250), Cu at (0.000, 0.499, 0.750), I at (0.127, 0.365, 0.549), O at (0.110, 0.124, 0.966) and O at (0.123, 0.031, 0.858).

Its total energy is -123.09 eV per cell. For the magnetization, the calculation gives 0.48 μB per atom. The calculation puts the density of states at the Fermi level at 27.51 states/eV/cell. For the uncorrected formation energy, the calculation gives -0.303 eV per atom.


A relaxed structure of Ac2SnPtAu6. Source: Alexandria, functional GGA-PBE.

The space group is P-1 (No. 2) and the conventional cell measures 5.464, 6.887 and 7.666 Å, with angles of 81.13, 69.17 and 66.85 degrees. The inequivalent atoms are Ac at (0.218, 0.261, 0.301), Sn at (0.000, 0.000, 0.000), Pt at (0.500, 0.500, 0.500), Au at (0.217, 0.785, 0.282), Au at (0.265, 0.563, 0.908) and Au at (0.283, 0.215, 0.719).

Its total energy is -43.36 eV per cell. For the magnetization, the calculation gives 0.00 μB per atom. The calculation puts the density of states at the Fermi level at 3.62 states/eV/cell. As for the energy of formation from the pure elements: -5.4 eV per formula unit.


A relaxed structure of Ca2Al3Ge2. Source: Alexandria, functional GGA-PBE.

The space group is Cmmm (No. 65) and the conventional cell measures 3.843, 19.250 and 4.241 Å, with angles of 90.00, 90.00 and 90.00 degrees. The inequivalent atoms are Ca at (0.000, 0.163, 0.000), Al at (0.000, 0.000, 0.000), Al at (0.000, 0.432, 0.500) and Ge at (0.000, 0.292, 0.500).

Its total energy is -51.71 eV per cell. For the magnetization, the calculation gives 0.00 μB per atom. The calculation puts the density of states at the Fermi level at 6.61 states/eV/cell. As for the energy of formation from the pure elements: -1.4 eV per formula unit.


A relaxed structure of AlNi12Rh3. Source: Alexandria, functional GGA-PBE.

The space group is R3c (No. 161, hexagonal axes) and the conventional cell measures 12.1910, 12.1910 and 9.0546 Å, with angles of 90.00, 90.00 and 120.00 degrees. The inequivalent atoms are Al at (0.0000, 0.0000, 0.0000), Ni at (0.0785, 0.2454, 0.3627), Ni at (0.0976, 0.2191, 0.1049), Ni at (0.1408, 0.0529, 0.7672), Ni at (0.2108, 0.4341, 0.1888) and Rh at (0.0129, 0.3151, 0.8686).

Its total energy is -563.48 eV per cell. For the magnetization, the calculation gives 0.54 μB per atom. The calculation puts the density of states at the Fermi level at 161.68 states/eV/cell. As for the energy of formation from the pure elements: 1.3 eV per formula unit.


A relaxed structure of PuPCl. Source: Alexandria, functional GGA-PBE.

The space group is P-1 (No. 2) and the conventional cell measures 3.910, 4.999 and 9.948 Å, with angles of 93.21, 101.20 and 113.02 degrees. The inequivalent atoms are Pu at (0.025, 0.200, 0.348), P at (0.362, 0.795, 0.429) and Cl at (0.469, 0.274, 0.161).

Its total energy is -50.80 eV per cell. For the magnetization, the calculation gives 1.67 μB per atom. The calculation puts the density of states at the Fermi level at 18.53 states/eV/cell. For the uncorrected formation energy, the calculation gives -1.271 eV per atom. As for the energy above the lowest structure with this stoichiometry: 0.0 meV per atom.


A relaxed structure of MgAl4Sn. Source: Alexandria, functional GGA-PBE.

The space group is F-43m (No. 216) and the conventional cell measures 7.781, 7.781 and 7.781 Å, with angles of 90.00, 90.00 and 90.00 degrees. The inequivalent atoms are Mg at (0.000, 0.000, 0.000), Al at (0.126, 0.126, 0.374) and Sn at (0.250, 0.250, 0.750).

Its total energy is -80.30 eV per cell. For the magnetization, the calculation gives 0.00 μB per atom. The calculation puts the density of states at the Fermi level at 14.59 states/eV/cell. As for the energy of formation from the pure elements: 0.5 eV per formula unit.


A relaxed structure of Tb2Pm3Sm6Sc. Source: Alexandria, functional GGA-PBE.

The space group is C2/m (No. 12) and the conventional cell measures 6.232, 10.793 and 11.891 Å, with angles of 90.00, 100.05 and 90.00 degrees. The inequivalent atoms are Tb at (0.000, 0.167, 0.000), Pm at (0.000, 0.000, 0.500), Pm at (0.000, 0.333, 0.500), Sm at (0.246, 0.335, 0.245), Sm at (0.249, 0.500, 0.755) and Sc at (0.000, 0.500, 0.000).

Its total energy is -115.67 eV per cell. For the magnetization, the calculation gives 0.00 μB per atom. The calculation puts the density of states at the Fermi level at 32.87 states/eV/cell. As for the energy of formation from the pure elements: 0.3 eV per formula unit.


A relaxed structure of TlNi2Ir. Source: Alexandria, functional GGA-PBE.

The space group is Cm (No. 8) and the conventional cell measures 8.841, 2.928 and 4.663 Å, with angles of 90.00, 102.59 and 90.00 degrees. The inequivalent atoms are Tl at (0.000, 0.000, 0.000), Ni at (0.254, 0.500, 0.245), Ni at (0.495, 0.000, 0.489) and Ir at (0.238, 0.000, 0.687).

Its total energy is -43.00 eV per cell. For the magnetization, the calculation gives 0.17 μB per atom. The calculation puts the density of states at the Fermi level at 10.01 states/eV/cell. As for the energy of formation from the pure elements: 1.3 eV per formula unit. As for the energy above the lowest structure with this stoichiometry: 27.9 meV per atom.


A relaxed structure of GdCo9Si4. Source: Alexandria, functional GGA-PBE.

The space group is I4/mcm (No. 140) and the conventional cell measures 7.802, 7.802 and 11.908 Å, with angles of 90.00, 90.00 and 90.00 degrees. The inequivalent atoms are Gd at (0.000, 0.000, 0.250), Co at (0.000, 0.000, 0.000), Co at (0.022, 0.272, 0.000), Co at (0.116, 0.384, 0.179) and Si at (0.183, 0.317, 0.364).

Its total energy is -410.46 eV per cell. For the magnetization, the calculation gives 0.19 μB per atom. The calculation puts the density of states at the Fermi level at 52.46 states/eV/cell. For the uncorrected formation energy, the calculation gives -0.206 eV per atom. As for the energy above the lowest structure with this stoichiometry: 280.5 meV per atom.


A relaxed structure of Pr4GaBi. Source: Alexandria, functional GGA-PBE.

The space group is C2/c (No. 15) and the conventional cell measures 9.024, 14.322 and 6.327 Å, with angles of 90.00, 112.17 and 90.00 degrees. The inequivalent atoms are Pr at (0.105, 0.182, 0.061), Pr at (0.202, 0.416, 0.350), Ga at (0.000, 0.001, 0.750) and Bi at (0.000, 0.382, 0.750).

Its total energy is -115.84 eV per cell. For the magnetization, the calculation gives 0.00 μB per atom. The calculation puts the density of states at the Fermi level at 26.20 states/eV/cell. As for the energy of formation from the pure elements: -2.9 eV per formula unit.


A relaxed structure of Sr2YBiOs. Source: Alexandria, functional GGA-PBE.

The space group is P4/mmm (No. 123) and the conventional cell measures 6.474, 6.474 and 5.643 Å, with angles of 90.00, 90.00 and 90.00 degrees. The inequivalent atoms are Sr at (0.000, 0.500, 0.000), Y at (0.000, 0.000, 0.000), Bi at (0.000, 0.000, 0.500) and Os at (0.500, 0.500, 0.500).

Its total energy is -17.19 eV per cell. For the magnetization, the calculation gives 0.36 μB per atom. The calculation puts the density of states at the Fermi level at 3.89 states/eV/cell. As for the energy of formation from the pure elements: 7.7 eV per formula unit.


A relaxed structure of SrPm4Ge2. Source: Alexandria, functional GGA-PBE.

The space group is I-42d (No. 122) and the conventional cell measures 9.272, 9.272 and 9.721 Å, with angles of 90.00, 90.00 and 90.00 degrees. The inequivalent atoms are Sr at (0.000, 0.000, 0.000), Pm at (0.080, 0.155, 0.341) and Ge at (0.162, 0.250, 0.625).

Its total energy is -127.72 eV per cell. For the magnetization, the calculation gives 0.00 μB per atom. The calculation puts the density of states at the Fermi level at 31.64 states/eV/cell. As for the energy of formation from the pure elements: -2.0 eV per formula unit.


A relaxed structure of Sr2ScSb. Source: Alexandria, functional GGA-PBE.

The space group is P4mm (No. 99) and the conventional cell measures 3.981, 3.981 and 9.201 Å, with angles of 90.00, 90.00 and 90.00 degrees. The inequivalent atoms are Sr at (0.000, 0.000, 0.000), Sr at (0.500, 0.500, 0.363), Sc at (0.500, 0.500, 0.728) and Sb at (0.000, 0.000, 0.613).

Its total energy is -15.38 eV per cell. For the magnetization, the calculation gives 0.32 μB per atom. The calculation puts the density of states at the Fermi level at 3.55 states/eV/cell. For the uncorrected formation energy, the calculation gives -0.391 eV per atom.


A relaxed structure of Sm8DyIn2. Source: Alexandria, functional GGA-PBE.

The space group is C2/m (No. 12) and the conventional cell measures 8.937, 15.499 and 5.813 Å, with angles of 90.00, 117.94 and 90.00 degrees. The inequivalent atoms are Sm at (0.000, 0.216, 0.000), Sm at (0.091, 0.500, 0.793), Sm at (0.210, 0.115, 0.632), Dy at (0.000, 0.000, 0.000) and In at (0.000, 0.307, 0.500).

Its total energy is -96.86 eV per cell. For the magnetization, the calculation gives 0.00 μB per atom. The calculation puts the density of states at the Fermi level at 28.84 states/eV/cell. As for the energy of formation from the pure elements: -0.6 eV per formula unit.


A relaxed structure of LiCaBi. Source: Alexandria, functional GGA-PBE.

The space group is Pnma (No. 62) and the conventional cell measures 7.825, 4.745 and 8.559 Å, with angles of 90.00, 90.00 and 90.00 degrees. The inequivalent atoms are Li at (0.150, 0.250, 0.071), Ca at (0.012, 0.250, 0.700) and Bi at (0.232, 0.750, 0.898).

Its total energy is -40.81 eV per cell. For the magnetization, the calculation gives 0.00 μB per atom. As for the energy of formation from the pure elements: -2.4 eV per formula unit.